Density functional theory data (PBE with a Hubbard U) for a geometry-optimized PuNbCr2O6 structure.

Cell lengths 5.6363, 5.4182, 5.8956 Å; angles 62.52, 62.13, 59.24 degrees
Site moments in Bohr magnetons follow the coordinates.
Fractional coordinates of all 10 atoms:
1 Nb 0.3225 0.3045 0.0537  0.36
2 Cr 0.5111 0.5246 0.4436  3.78
3 Pu 0.8113 0.7969 0.5707  4.86
4 Cr 0.0168 0.0128 0.9420  3.76
5 O 0.9691 0.6036 0.2204  -0.03
6 O 0.3955 0.7121 0.7544  -0.07
7 O 0.2436 0.9359 0.2631  -0.02
8 O 0.5993 0.2319 0.2291  -0.04
9 O 0.1104 0.3878 0.7933  -0.03
10 O 0.6820 0.1516 0.7450  -0.04

Values from the calculation:
E_tot, eV per atom: -9.1363
Density of states at the Fermi level, states/eV/atom: 0.7318